BaPbSeBr2: optimized geometry, GGA-PBEsol.

As for the space group: P4/mmm, No. 123. The value obtained for the size of the total moment is 0.0 μB per cell. The energy relative to the elements, uncorrected comes out at -519.5 kJ/mol of formula units.

```
BaPbSeBr2
1.0
5.630 0.000 0.000
0.000 5.630 0.000
0.000 0.000 5.783
Ba Pb Se Br
1 1 1 2
Cartesian
0.000 0.000 0.000
2.815 2.815 2.891
2.815 2.815 0.000
0.000 2.815 2.891
2.815 0.000 2.891
```